No. 1
An optimized crystal structure of LaNiGeH. Source: Alexandria via LeMat-Bulk, functional PBE-GGA.

Total magnetic moment (Bohr magnetons per cell): 0.00
DFT total energy (eV/cell): -43.0

Geometry as POSCAR:
```
LaNiGeH
1.0
4.112 0.000 0.000
0.000 4.112 0.000
0.000 0.000 7.816
H La Ni Ge
2 2 2 2
Cartesian
0.000 0.000 3.908 H
2.056 2.056 3.908 H
2.056 0.000 5.259 La
0.000 2.056 2.557 La
2.056 2.056 0.000 Ni
0.000 0.000 0.000 Ni
0.000 2.056 6.590 Ge
2.056 0.000 1.226 Ge
```



No. 2
An optimized crystal structure of La2GeHPd6. Source: Alexandria via LeMat-Bulk, functional PBE-GGA.

Total magnetic moment (Bohr magnetons per cell): 0.00
DFT total energy (eV/cell): -56.1

Geometry as POSCAR:
```
La2GeHPd6
1.0
6.948 -0.035 -0.749
0.029 5.808 -0.010
2.916 2.897 4.102
La Pd Ge H
2 6 1 1
Cartesian
2.910 5.799 2.078 La
6.983 2.871 1.266 La
3.511 2.891 1.640 Pd
4.982 7.232 3.712 Pd
6.381 5.779 1.703 Pd
4.911 1.438 -0.369 Pd
4.965 4.351 3.718 Pd
4.928 4.318 -0.375 Pd
0.000 0.000 0.000 Ge
3.489 2.886 -0.379 H
```



No. 3
An optimized crystal structure of La2Pm4Ge3H2. Source: Alexandria via LeMat-Bulk, functional PBE-GGA.

Total magnetic moment (Bohr magnetons per cell): 0.01
DFT total energy (eV/cell): -56.1

Geometry as POSCAR:
```
La2Pm4Ge3H2
1.0
-1.137 -0.520 -4.543
0.594 -4.658 0.384
-11.505 1.341 5.168
Pm H La Ge
4 2 2 3
Cartesian
-1.574 -2.527 0.683 Pm
-2.440 -0.458 -1.781 Pm
-9.608 -3.379 2.790 Pm
-10.473 -1.309 0.327 Pm
-2.583 -2.834 -1.473 H
-9.464 -1.003 2.483 H
-5.025 -3.093 -0.832 La
-7.022 -0.744 1.842 La
-8.053 -3.414 -0.038 Ge
0.000 0.000 0.000 Ge
-3.994 -0.423 1.048 Ge
```



No. 4
An optimized crystal structure of LaReGeH2. Source: Alexandria via LeMat-Bulk, functional PBE-GGA.

Total magnetic moment (Bohr magnetons per cell): 0.84
DFT total energy (eV/cell): -24.4

Geometry as POSCAR:
```
LaReGeH2
1.0
-0.028 3.737 -1.601
-5.247 0.361 0.935
0.762 1.578 3.669
La H Re Ge
1 2 1 1
Cartesian
-2.623 0.180 0.467 La
0.381 0.789 1.835 H
-0.014 1.869 -0.801 H
0.000 0.000 0.000 Re
-2.257 2.838 1.501 Ge
```



No. 5
An optimized crystal structure of LaGeHRh2. Source: Alexandria via LeMat-Bulk, functional PBE-GGA.

Total magnetic moment (Bohr magnetons per cell): 0.00
DFT total energy (eV/cell): -62.6

Geometry as POSCAR:
```
LaGeHRh2
1.0
-0.451 3.945 -0.032
-1.728 -2.239 -5.172
-6.744 -0.750 2.577
La Ge Rh H
2 2 4 2
Cartesian
-2.154 1.752 -0.015 La
-6.769 -0.795 -2.612 La
-6.137 1.294 -0.352 Ge
-2.785 -0.337 -2.275 Ge
-1.910 1.752 -3.433 Rh
-4.337 -0.497 -0.218 Rh
-4.586 1.455 -2.410 Rh
-7.013 -0.795 0.805 Rh
0.000 0.000 0.000 H
-3.372 -0.375 1.289 H
```



No. 6
An optimized crystal structure of LaGeHRh. Source: Alexandria via LeMat-Bulk, functional PBE-GGA.

Total magnetic moment (Bohr magnetons per cell): 0.00
DFT total energy (eV/cell): -47.4

Geometry as POSCAR:
```
LaGeHRh
1.0
4.180 0.000 0.000
0.000 4.180 0.000
0.000 0.000 7.877
Rh La H Ge
2 2 2 2
Cartesian
0.000 0.000 0.000 Rh
2.090 2.090 0.000 Rh
2.090 0.000 5.240 La
0.000 2.090 2.637 La
0.000 0.000 3.938 H
2.090 2.090 3.938 H
2.090 0.000 1.362 Ge
0.000 2.090 6.515 Ge
```



No. 7
An optimized crystal structure of LaGeHRu. Source: Alexandria via LeMat-Bulk, functional PBE-GGA.

Total magnetic moment (Bohr magnetons per cell): 0.00
DFT total energy (eV/cell): -49.9

Geometry as POSCAR:
```
LaGeHRu
1.0
4.281 0.000 0.000
0.000 4.281 0.000
0.000 0.000 7.574
H La Ge Ru
2 2 2 2
Cartesian
2.140 2.140 3.787 H
0.000 0.000 3.787 H
0.000 2.140 2.504 La
2.140 0.000 5.071 La
2.140 0.000 1.237 Ge
0.000 2.140 6.338 Ge
2.140 2.140 0.000 Ru
0.000 0.000 0.000 Ru
```



No. 8
An optimized crystal structure of LaGeH2Ru. Source: Alexandria via LeMat-Bulk, functional PBE-GGA.

Total magnetic moment (Bohr magnetons per cell): 0.00
DFT total energy (eV/cell): -56.9

Geometry as POSCAR:
```
LaGeH2Ru
1.0
-1.951 0.510 -3.522
-3.397 -2.931 3.796
-2.264 5.227 2.011
Ru H La Ge
2 4 2 2
Cartesian
0.000 0.000 0.000 Ru
-1.132 2.613 1.005 Ru
-5.008 0.726 0.541 H
-4.127 -1.307 -0.241 H
-3.484 4.113 2.526 H
-2.604 2.079 1.743 H
-4.453 3.085 0.575 La
-3.158 -0.280 1.709 La
-5.425 1.639 3.243 Ge
-2.187 1.167 -0.958 Ge
```



No. 9
An optimized crystal structure of LaGe2HRu2. Source: Alexandria via LeMat-Bulk, functional PBE-GGA.

Total magnetic moment (Bohr magnetons per cell): 0.00
DFT total energy (eV/cell): -39.5

Geometry as POSCAR:
```
LaGe2HRu2
1.0
4.193 0.000 0.000
0.000 4.193 0.000
0.000 0.000 5.382
Ru H Ge La
2 1 2 1
Cartesian
0.000 2.096 0.000 Ru
2.096 0.000 0.000 Ru
0.000 0.000 0.000 H
2.096 2.096 3.976 Ge
2.096 2.096 1.406 Ge
0.000 0.000 2.691 La
```



No. 10
An optimized crystal structure of La2Sc2Ge2H. Source: Alexandria via LeMat-Bulk, functional PBE-GGA.

Total magnetic moment (Bohr magnetons per cell): 2.09
DFT total energy (eV/cell): -40.3

Geometry as POSCAR:
```
La2Sc2Ge2H
1.0
4.361 0.000 0.000
0.000 4.361 0.000
-2.181 -2.181 8.142
Ge Sc La H
2 2 2 1
Cartesian
2.181 2.181 1.945 Ge
0.000 0.000 6.197 Ge
0.000 2.181 0.000 Sc
2.181 0.000 0.000 Sc
2.181 2.181 5.248 La
0.000 0.000 2.894 La
0.000 0.000 0.000 H
```



No. 11
An optimized crystal structure of LaScGeH2. Source: Alexandria via LeMat-Bulk, functional PBE-GGA.

Total magnetic moment (Bohr magnetons per cell): 0.00
DFT total energy (eV/cell): -53.3

Geometry as POSCAR:
```
LaScGeH2
1.0
-0.019 2.829 -2.983
-0.473 -5.620 -2.493
-6.761 0.387 0.409
H Sc La Ge
4 2 2 2
Cartesian
-3.996 -1.246 -1.156 H
-0.771 -1.301 -4.062 H
-6.481 -1.103 -1.005 H
-3.256 -1.159 -3.911 H
0.000 0.000 0.000 Sc
-3.380 0.193 0.205 Sc
-5.292 -0.141 -2.933 La
-1.961 -2.263 -2.134 La
-1.764 0.946 -1.925 Ge
-5.488 -3.350 -3.142 Ge
```



No. 12
An optimized crystal structure of LaSiGeH2. Source: Alexandria via LeMat-Bulk, functional PBE-GGA.

Total magnetic moment (Bohr magnetons per cell): 0.00
DFT total energy (eV/cell): -20.1

Geometry as POSCAR:
```
LaSiGeH2
1.0
4.151 0.000 0.000
0.000 6.282 0.000
0.000 0.000 4.151
La Si H Ge
1 1 2 1
Cartesian
0.000 0.000 0.000 La
2.075 3.141 2.075 Si
2.075 0.000 0.000 H
0.000 0.000 2.075 H
0.000 3.141 0.000 Ge
```



No. 13
An optimized crystal structure of LaSmGeH. Source: Alexandria via LeMat-Bulk, functional PBE-GGA.

Total magnetic moment (Bohr magnetons per cell): 1.06
DFT total energy (eV/cell): -40.3

Geometry as POSCAR:
```
LaSmGeH
1.0
4.475 0.000 0.000
0.000 4.475 0.000
0.000 0.000 8.783
Ge La Sm H
2 2 2 2
Cartesian
0.000 2.238 2.292 Ge
2.238 0.000 6.491 Ge
0.000 2.238 7.694 La
2.238 0.000 1.089 La
2.238 2.238 4.391 Sm
0.000 0.000 4.391 Sm
2.238 2.238 0.000 H
0.000 0.000 0.000 H
```



No. 14
An optimized crystal structure of La2Sm4Ge3H2. Source: Alexandria via LeMat-Bulk, functional PBE-GGA.

Total magnetic moment (Bohr magnetons per cell): 0.00
DFT total energy (eV/cell): -56.0

Geometry as POSCAR:
```
La2Sm4Ge3H2
1.0
-4.570 -0.308 -1.024
0.184 -4.654 0.579
-0.542 3.840 12.018
Sm Ge La H
4 3 2 2
Cartesian
-2.719 0.061 1.358 Sm
-4.587 0.989 9.414 Sm
-0.341 -2.112 2.159 Sm
-2.210 -1.184 10.215 Sm
-0.925 0.459 3.988 Ge
0.000 0.000 0.000 Ge
-4.003 -1.582 7.585 Ge
-3.295 -1.934 4.531 La
-1.633 0.811 7.042 La
-2.203 1.094 9.500 H
-2.725 -2.217 2.072 H
```



No. 15
An optimized crystal structure of La2Sm2Ge2H. Source: Alexandria via LeMat-Bulk, functional PBE-GGA.

Total magnetic moment (Bohr magnetons per cell): 0.96
DFT total energy (eV/cell): -36.4

Geometry as POSCAR:
```
La2Sm2Ge2H
1.0
-3.395 0.870 -2.975
-2.058 -3.932 1.199
-1.502 5.576 6.897
Ge H Sm La
2 1 2 2
Cartesian
-3.131 2.995 4.450 Ge
-3.823 -0.482 0.671 Ge
0.000 0.000 0.000 H
-1.698 0.435 -1.487 Sm
-1.029 -1.966 0.599 Sm
-5.415 1.041 2.933 La
-1.539 1.473 2.188 La
```



No. 16
An optimized crystal structure of La4SnGeH. Source: Alexandria via LeMat-Bulk, functional PBE-GGA.

Total magnetic moment (Bohr magnetons per cell): 1.74
DFT total energy (eV/cell): -72.4

Geometry as POSCAR:
```
La4SnGeH
1.0
6.647 0.000 0.000
0.000 6.655 0.000
-3.323 0.000 8.853
Sn La H Ge
2 8 2 2
Cartesian
3.323 4.991 2.010 Sn
0.000 1.664 6.843 Sn
-1.662 0.000 4.427 La
-1.662 3.328 4.427 La
1.662 3.328 4.427 La
0.000 4.991 7.602 La
0.000 4.991 1.126 La
1.662 0.000 4.427 La
3.323 1.664 1.252 La
3.323 1.664 7.727 La
0.000 4.991 5.158 H
3.323 1.664 3.696 H
3.323 4.991 6.767 Ge
0.000 1.664 2.087 Ge
```



No. 17
An optimized crystal structure of La2Tb2Ge2H. Source: Alexandria via LeMat-Bulk, functional PBE-GGA.

Total magnetic moment (Bohr magnetons per cell): 1.43
DFT total energy (eV/cell): -36.4

Geometry as POSCAR:
```
La2Tb2Ge2H
1.0
-3.322 2.254 -2.138
-2.462 -3.820 -0.202
-0.579 2.632 8.512
Tb Ge La H
2 2 2 1
Cartesian
-1.661 1.127 -1.069 Tb
-1.231 -1.910 -0.101 Tb
-2.592 1.381 5.483 Ge
-3.771 -0.314 0.690 Ge
-5.105 0.396 3.511 La
-1.258 0.670 2.662 La
0.000 0.000 0.000 H
```



No. 18
An optimized crystal structure of La2Tb4Ge3H2. Source: Alexandria via LeMat-Bulk, functional PBE-GGA.

Total magnetic moment (Bohr magnetons per cell): 0.01
DFT total energy (eV/cell): -55.9

Geometry as POSCAR:
```
La2Tb4Ge3H2
1.0
4.636 0.000 0.000
0.000 4.636 0.000
-2.318 -2.318 12.010
La Tb H Ge
2 4 2 3
Cartesian
0.000 0.000 7.195 La
2.318 2.318 4.815 La
0.000 2.318 10.121 Tb
2.318 0.000 10.121 Tb
2.318 0.000 1.889 Tb
0.000 2.318 1.889 Tb
2.318 2.318 2.271 H
0.000 0.000 9.739 H
2.318 2.318 7.994 Ge
0.000 0.000 4.017 Ge
0.000 0.000 0.000 Ge
```



No. 19
An optimized crystal structure of LaTcGeH2. Source: Alexandria via LeMat-Bulk, functional PBE-GGA.

Total magnetic moment (Bohr magnetons per cell): 0.00
DFT total energy (eV/cell): -25.1

Geometry as POSCAR:
```
LaTcGeH2
1.0
-1.635 2.827 -2.026
-2.030 -3.462 -3.191
-3.127 -0.215 2.223
H Ge Tc La
2 1 1 1
Cartesian
-1.564 -0.108 1.112 H
-0.817 1.413 -1.013 H
0.000 0.000 0.000 Ge
-1.015 -1.731 -1.596 Tc
-3.396 -0.425 -1.497 La
```



No. 20
An optimized crystal structure of La8Ge3Te4H. Source: Alexandria via LeMat-Bulk, functional PBE-GGA.

Total magnetic moment (Bohr magnetons per cell): 0.00
DFT total energy (eV/cell): -88.1

Geometry as POSCAR:
```
La8Ge3Te4H
1.0
-2.660 0.330 -8.474
-1.840 -8.813 0.234
-3.670 5.408 6.024
La Te Ge H
8 4 3 1
Cartesian
-3.077 0.469 0.984 La
-2.574 -2.054 -6.219 La
-4.374 0.598 -3.265 La
-1.270 -2.216 -2.063 La
-6.900 -0.858 -0.154 La
-5.595 -1.020 4.002 La
-5.093 -3.543 -3.201 La
-3.796 -3.673 1.048 La
-1.330 0.165 -4.237 Te
-1.835 2.704 3.012 Te
0.000 0.000 0.000 Te
-3.165 2.869 -1.225 Te
-4.085 -1.537 -1.108 Ge
-2.755 -1.702 3.129 Ge
-2.250 -4.241 -4.120 Ge
-0.920 -4.407 0.117 H
```